1.
A plane-wave DFT calculation with GGA-PBE was carried out for a geometry-optimized Sm8Hg2Ir structure.

The structure in POSCAR format:
```
Sm8Hg2Ir
1.0
-0.143 -1.447 -4.815
3.110 -7.692 2.220
-8.305 2.086 2.246
Sm Ir Hg
8 1 2
direct
0.881 0.881 0.763
0.346 0.115 0.692
0.654 0.423 0.308
0.000 0.329 0.000
0.000 0.671 0.000
0.346 0.577 0.692
0.119 0.119 0.237
0.654 0.885 0.308
0.500 0.000 0.000
0.200 0.700 0.399
0.800 0.300 0.601
```

=====

2.
A plane-wave DFT calculation with GGA-PBE was carried out for a geometry-optimized Sm3Hg2Ir structure.

The structure in POSCAR format:
```
Sm3Hg2Ir
1.0
-0.373 4.424 -3.906
-7.583 1.218 2.104
4.259 2.202 6.563
Hg Sm Ir
4 6 2
direct
0.691 0.596 0.382
0.310 0.904 0.618
0.690 0.096 0.382
0.309 0.404 0.618
0.133 0.566 0.265
0.132 0.066 0.265
0.867 0.434 0.735
0.500 0.750 0.000
0.500 0.250 0.000
0.868 0.934 0.735
0.000 0.250 0.000
0.000 0.750 0.000
```

=====

3.
A plane-wave DFT calculation with GGA-PBE was carried out for a geometry-optimized Sm8Hg2Ir structure.

The structure in POSCAR format:
```
Sm8Hg2Ir
1.0
5.254 0.000 0.000
0.000 6.936 0.366
-2.627 -2.527 8.745
Sm Hg Ir
8 2 1
direct
0.653 0.962 0.305
0.798 0.687 0.596
0.587 0.432 0.175
0.347 0.038 0.695
0.023 0.782 0.047
0.413 0.568 0.825
0.977 0.218 0.953
0.202 0.313 0.404
0.190 0.738 0.380
0.810 0.262 0.620
0.500 0.000 0.000
```

=====

4.
A plane-wave DFT calculation with GGA-PBE was carried out for a geometry-optimized Sm5Hg2Ir structure.

The structure in POSCAR format:
```
Sm5Hg2Ir
1.0
-0.254 4.368 -2.191
-7.032 -1.511 -2.197
-4.315 4.963 10.397
Sm Hg Ir
10 4 2
direct
0.000 0.856 0.206
0.500 0.178 0.080
0.000 0.144 0.794
0.500 0.822 0.920
0.500 0.322 0.580
0.500 0.678 0.420
0.000 0.356 0.294
0.000 0.644 0.706
0.000 0.500 0.000
0.000 0.000 0.500
0.500 0.922 0.664
0.500 0.422 0.836
0.500 0.578 0.164
0.500 0.078 0.336
0.000 0.000 0.000
0.000 0.500 0.500
```

=====

| no. | total magnetic moment (μB per atom) | formation energy (eV per atom) |
| --- | --- | --- |
| 1 | 0.000 | -0.195 |
| 2 | 0.000 | -0.491 |
| 3 | 0.000 | -0.313 |
| 4 | 0.000 | -0.479 |